1.
Density functional theory data (PBE) for a relaxed GaSi2Rh2 crystal.

The structure in extended XYZ format:
```
10
Lattice="-3.291 -4.932 -4.168 -1.085 -4.189 5.814 -2.423 1.242 0.443" Properties=species:S:1:pos:R:3 pbc="T T T"
Ga 0.000 0.000 0.000
Ga -2.188 -4.560 0.823
Si -2.402 -2.823 3.372
Si -4.268 -6.144 2.474
Si -4.397 -5.055 -1.283
Si -2.530 -1.735 -0.385
Rh -2.097 -5.335 3.491
Rh -3.514 -6.919 0.184
Rh -2.279 -3.786 -1.846
Rh -0.862 -2.202 1.462
```

SG ... No. 127
Formation energy without anion corrections ... -466 meV per atom
Size of the total moment ... 0.0000 μB/atom
Density of states at the Fermi level ... 0.42 states/eV per atom



2.
Density functional theory data (PBE) for a relaxed GaSiRh2 crystal.

The structure in extended XYZ format:
```
4
Lattice="2.862 0.000 0.000 0.000 2.862 0.000 0.000 0.000 6.689" Properties=species:S:1:pos:R:3 pbc="T T T"
Si 1.431 1.431 0.000
Rh 0.000 0.000 5.207
Rh 0.000 0.000 1.482
Ga 1.431 1.431 3.344
```

SG ... No. 123
Formation energy without anion corrections ... -684 meV per atom
Size of the total moment ... 0.0000 μB/atom
Density of states at the Fermi level ... 0.40 states/eV per atom



3.
Density functional theory data (PBE) for a relaxed GaSi2Rh2 crystal.

The structure in extended XYZ format:
```
5
Lattice="3.377 0.000 0.000 0.000 3.377 0.000 0.000 0.000 6.452" Properties=species:S:1:pos:R:3 pbc="T T T"
Ga 0.000 0.000 0.000
Si 0.000 1.688 3.226
Si 1.688 0.000 3.226
Rh 1.688 1.688 1.379
Rh 1.688 1.688 5.074
```

SG ... No. 123
Formation energy without anion corrections ... -328 meV per atom
Size of the total moment ... 0.0000 μB/atom
Density of states at the Fermi level ... 0.33 states/eV per atom